Entry 1:
{"formula": "Pr4Sm11Tm9", "functional": "PBE", "state": "optimized geometry", "e_form_ev_per_atom": 0.068, "total_magnetization_mub_per_cell": 0.00, "n_ef_per_ev_atom": 1.246, "space_group": "No. 65", "lattice_angstrom": [[8.412, -12.700, 0.000], [8.412, 12.700, 0.000], [0.000, 0.000, 3.705]], "species": ["Pr", "Pr", "Pr", "Pr", "Sm", "Sm", "Sm", "Sm", "Sm", "Sm", "Sm", "Sm", "Sm", "Sm", "Sm", "Tm", "Tm", "Tm", "Tm", "Tm", "Tm", "Tm", "Tm", "Tm"], "frac_coords": [[0.055, 0.256, 0.000], [0.256, 0.055, 0.000], [0.744, 0.945, 0.000], [0.945, 0.744, 0.000], [0.094, 0.456, 0.500], [0.135, 0.865, 0.500], [0.212, 0.212, 0.500], [0.340, 0.660, 0.500], [0.456, 0.094, 0.500], [0.500, 0.500, 0.500], [0.544, 0.906, 0.500], [0.660, 0.340, 0.500], [0.788, 0.788, 0.500], [0.865, 0.135, 0.500], [0.906, 0.544, 0.500], [0.000, 0.000, 0.000], [0.135, 0.663, 0.000], [0.290, 0.436, 0.000], [0.337, 0.865, 0.000], [0.436, 0.290, 0.000], [0.564, 0.710, 0.000], [0.663, 0.135, 0.000], [0.710, 0.564, 0.000], [0.865, 0.337, 0.000]]}

Entry 2:
{"formula": "MgGaSe2Br", "functional": "PBE", "state": "optimized geometry", "relative_energy_kj_per_mol_atoms": 0.0, "total_magnetization_mub_per_cell": 0.94, "n_ef_per_ev_atom": 1.101, "space_group": "No. 123", "lattice_angstrom": [[5.092, 0.000, 0.000], [0.000, 5.092, 0.000], [0.000, 0.000, 5.472]], "species": ["Mg", "Ga", "Se", "Se", "Br"], "frac_coords": [[0.000, 0.000, 0.000], [0.500, 0.500, 0.500], [0.000, 0.500, 0.000], [0.500, 0.000, 0.000], [0.000, 0.000, 0.500]]}

Entry 3:
{"formula": "ZrNi2Se", "functional": "PBE", "state": "optimized geometry", "dft_energy_ev_per_fu": -25.4, "total_magnetization_mub_per_cell": 0.00, "n_ef_per_ev_atom": 0.559, "space_group": "No. 10", "lattice_angstrom": [[3.336, 0.000, 0.000], [0.000, 3.942, 0.000], [-0.029, 0.000, 4.888]], "species": ["Zr", "Ni", "Ni", "Se"], "frac_coords": [[0.000, 0.000, 0.000], [0.499, 0.500, 0.761], [0.501, 0.500, 0.239], [0.500, 0.000, 0.500]]}

Entry 4:
{"formula": "Ta2BeRu2", "functional": "PBE", "state": "optimized geometry", "e_form_ev_per_atom": 0.083, "total_magnetization_mub_per_cell": 0.00, "n_ef_per_ev_atom": 0.719, "space_group": "No. 127", "lattice_angstrom": [[7.286, 0.000, 0.000], [0.000, 7.286, 0.000], [0.000, 0.000, 3.069]], "species": ["Ta", "Ta", "Ta", "Ta", "Be", "Be", "Ru", "Ru", "Ru", "Ru"], "frac_coords": [[0.161, 0.339, 0.000], [0.339, 0.839, 0.000], [0.661, 0.161, 0.000], [0.839, 0.661, 0.000], [0.000, 0.000, 0.500], [0.500, 0.500, 0.500], [0.141, 0.641, 0.500], [0.359, 0.141, 0.500], [0.641, 0.859, 0.500], [0.859, 0.359, 0.500]]}

Entry 5:
{"formula": "SiNiW", "functional": "PBE", "state": "optimized geometry", "dft_energy_ev_per_fu": -24.4, "total_magnetization_mub_per_cell": 0.00, "n_ef_per_ev_atom": 0.367, "space_group": "No. 11", "lattice_angstrom": [[4.519, 0.000, 0.000], [0.000, 3.827, 0.000], [-1.449, 0.000, 4.629]], "species": ["Si", "Si", "Ni", "Ni", "W", "W"], "frac_coords": [[0.144, 0.250, 0.444], [0.856, 0.750, 0.556], [0.071, 0.750, 0.170], [0.929, 0.250, 0.830], [0.443, 0.750, 0.798], [0.557, 0.250, 0.202]]}

Entry 6:
{"formula": "LaDyTh3", "functional": "PBE", "state": "optimized geometry", "e_form_ev_per_atom": 0.344, "total_magnetization_mub_per_cell": 0.00, "n_ef_per_ev_atom": 1.900, "space_group": "No. 74", "lattice_angstrom": [[-5.006, 5.948, 3.011], [5.006, -5.948, 3.011], [5.006, 5.948, -3.011]], "species": ["La", "La", "Dy", "Dy", "Th", "Th", "Th", "Th", "Th", "Th"], "frac_coords": [[0.500, 0.000, 0.000], [0.500, 0.500, 0.500], [0.051, 0.301, 0.750], [0.949, 0.699, 0.250], [0.000, 0.000, 0.000], [0.000, 0.332, 0.332], [0.000, 0.668, 0.668], [0.500, 0.000, 0.500], [0.500, 0.332, 0.832], [0.500, 0.668, 0.168]]}

What did the first record say?
{"formula": "Pr4Sm11Tm9", "functional": "PBE", "state": "optimized geometry", "e_form_ev_per_atom": 0.068, "total_magnetization_mub_per_cell": 0.00, "n_ef_per_ev_atom": 1.246, "space_group": "No. 65", "lattice_angstrom": [[8.412, -12.700, 0.000], [8.412, 12.700, 0.000], [0.000, 0.000, 3.705]], "species": ["Pr", "Pr", "Pr", "Pr", "Sm", "Sm", "Sm", "Sm", "Sm", "Sm", "Sm", "Sm", "Sm", "Sm", "Sm", "Tm", "Tm", "Tm", "Tm", "Tm", "Tm", "Tm", "Tm", "Tm"], "frac_coords": [[0.055, 0.256, 0.000], [0.256, 0.055, 0.000], [0.744, 0.945, 0.000], [0.945, 0.744, 0.000], [0.094, 0.456, 0.500], [0.135, 0.865, 0.500], [0.212, 0.212, 0.500], [0.340, 0.660, 0.500], [0.456, 0.094, 0.500], [0.500, 0.500, 0.500], [0.544, 0.906, 0.500], [0.660, 0.340, 0.500], [0.788, 0.788, 0.500], [0.865, 0.135, 0.500], [0.906, 0.544, 0.500], [0.000, 0.000, 0.000], [0.135, 0.663, 0.000], [0.290, 0.436, 0.000], [0.337, 0.865, 0.000], [0.436, 0.290, 0.000], [0.564, 0.710, 0.000], [0.663, 0.135, 0.000], [0.710, 0.564, 0.000], [0.865, 0.337, 0.000]]}

What is the formula in the first record? Pr4Sm11Tm9